(1)
Entry from OQMD: an optimized crystal structure of GdFe2 (PBE).

## Properties
The size of the total moment is 3.5 μB/f.u. As for the density: 9345 kg/m3.

a = 5.1321 Å, b = 5.1321 Å, c = 5.1321 Å
α = 60.00°, β = 60.00°, γ = 60.00°
Closest atoms and distances in Å follow each position.
Atoms (fractional coordinates):
Gd: 0.1250 0.1250 0.1250  12 Fe 3.01, 4 Gd 3.14
Gd: 0.8750 0.8750 0.8750  12 Fe 3.01, 4 Gd 3.14
Fe: 0.0000 0.5000 0.5000  6 Fe 2.57
Fe: 0.5000 0.0000 0.5000  6 Fe 2.57
Fe: 0.5000 0.5000 0.0000  6 Fe 2.57
Fe: 0.5000 0.5000 0.5000  6 Fe 2.57

=====

(2)
Entry from OQMD: an optimized crystal structure of GdFe (PBE).

## Properties
The size of the total moment is 1.2 μB/f.u. As for the density: 6483 kg/m3.

a = 4.2578 Å, b = 4.2578 Å, c = 4.2578 Å
α = 60.00°, β = 60.00°, γ = 60.00°
Closest atoms and distances in Å follow each position.
Atoms (fractional coordinates):
Gd: 0.0000 0.0000 0.0000  4 Fe 2.61
Fe: 0.2500 0.2500 0.2500  4 Gd 2.61

=====

(3)
Entry from OQMD: an optimized crystal structure of Gd3Fe (PBE).

## Properties
The size of the total moment is 2.5 μB/f.u. As for the density: 8470 kg/m3.

a = 5.8365 Å, b = 5.8365 Å, c = 5.8365 Å
α = 133.31°, β = 133.31°, γ = 68.17°
Closest atoms and distances in Å follow each position.
Atoms (fractional coordinates):
Gd: 0.0000 0.0000 0.0000  4 Fe 3.27, 8 Gd 3.35
Gd: 0.2500 0.7500 0.5000  8 Gd 3.27-3.35, 4 Fe 3.35
Gd: 0.7500 0.2500 0.5000  8 Gd 3.27-3.35, 4 Fe 3.35
Fe: 0.5000 0.5000 0.0000  12 Gd 3.27-3.35

=====

| no. | electronic total energy (eV/cell) | E_form (eV/f.u.) |
| --- | --- | --- |
| 1 | -42.73 | -0.093 |
| 2 | -10.11 | 2.849 |
| 3 | -20.89 | 1.380 |